! TbCrO2 | Alexandria | PBE+U | optimized geometry; values from VASP
! Crystal system   trigonal
! E   -7.933 eV/atom
&SYSTEM
  ibrav = 0, nat = 4, ntyp = 3
/
ATOMIC_SPECIES
O 16.00 O.upf
Cr 52.00 Cr.upf
Tb 158.93 Tb.upf
ATOMIC_POSITIONS crystal
O 0.108 0.108 0.675
Cr 0.000 0.000 0.000
O 0.892 0.892 0.325
Tb 0.500 0.500 0.500
CELL_PARAMETERS angstrom
3.546 0.000 0.000
1.773 3.071 0.000
1.773 1.024 6.150